Entry from Alexandria: an optimized crystal structure of CeDySc2 (GGA-PBE).

## Properties
Its uncorrected energy is -5.6989 eV per atom. The density of states at the Fermi level is 7.7 states/eV per cell. The calculation puts the magnetic moment at 0.4 Bohr magnetons per cell. The value obtained for the energy above the lowest structure with this stoichiometry is 0.035 eV per atom. The calculation puts the energy relative to the elements at 101 meV per atom. As for the space group: P4/mmm, No. 123.

CIF file:
```
data_CeDySc2
_chemical_formula_sum 'Ce1 Dy1 Sc2'
_cell_length_a 5.446
_cell_length_b 5.446
_cell_length_c 3.721
_cell_angle_alpha 90.00
_cell_angle_beta 90.00
_cell_angle_gamma 90.00
_space_group_name_H-M_alt 'P 1'
_space_group_IT_number 1
loop_
_space_group_symop_operation_xyz
'x,y,z'
loop_
_atom_site_label
_atom_site_fract_x
_atom_site_fract_y
_atom_site_fract_z
_atom_site_occupancy
Ce1 0.000 0.000 0.000 1
Dy1 0.500 0.500 0.000 1
Sc1 0.000 0.500 0.500 1
Sc2 0.500 0.000 0.500 1
```